# Hg2PtW (PBE, relaxed)
# ΔE_f: 639.2 meV per atom
# Energy relative to the lowest polymorph listed for this composition: 433 meV/atom
# V: 73 Å³/f.u.
# Total energy: -4.26 eV per atom
data_Hg2PtW
_symmetry_space_group_name_H-M 'P m m m'
_symmetry_Int_Tables_number 47
_symmetry_space_group_name_Hall '-P 2 2'
_cell_length_a 2.884
_cell_length_b 4.211
_cell_length_c 5.988
_cell_angle_alpha 90.00
_cell_angle_beta 90.00
_cell_angle_gamma 90.00
loop_
_atom_site_label
_atom_site_fract_x
_atom_site_fract_y
_atom_site_fract_z
Hg1 0.000 0.000 0.250
Pt1 0.500 0.500 0.000
W1 0.500 0.500 0.500

***

# CdCoIr (PBE, relaxed)
# ΔE_f: 223.8 meV per atom
# Energy relative to the lowest polymorph listed for this composition: 56 meV/atom
# V: 45 Å³/f.u.
# Total energy: -5.40 eV per atom
data_CdCoIr
_symmetry_space_group_name_H-M 'P 3 m 1'
_symmetry_Int_Tables_number 156
_symmetry_space_group_name_Hall 'P 3 -2"'
_cell_length_a 2.7911
_cell_length_b 2.7911
_cell_length_c 6.7395
_cell_angle_alpha 90.00
_cell_angle_beta 90.00
_cell_angle_gamma 120.00
loop_
_atom_site_label
_atom_site_fract_x
_atom_site_fract_y
_atom_site_fract_z
Cd1 0.0000 0.0000 0.0000
Co1 0.6667 0.3333 0.3413
Ir1 0.3333 0.6667 0.6340

***

# Cs3Mg2GeI9 (PBE, relaxed)
# Formation energy without anion corrections: -1.071 eV/atom
# V: 632 Å³/f.u.
# Total energy: -2.69 eV per atom
data_Cs3Mg2GeI9
_symmetry_space_group_name_H-M 'P -3 m 1'
_symmetry_Int_Tables_number 164
_symmetry_space_group_name_Hall '-P 3 2"'
_cell_length_a 8.4123
_cell_length_b 8.4123
_cell_length_c 10.3087
_cell_angle_alpha 90.00
_cell_angle_beta 90.00
_cell_angle_gamma 120.00
loop_
_atom_site_label
_atom_site_fract_x
_atom_site_fract_y
_atom_site_fract_z
Cs1 0.0000 0.0000 0.0000
Cs2 0.3333 0.6667 0.6652
Mg1 0.3333 0.6667 0.1633
Ge1 0.0000 0.0000 0.5000
I1 0.0000 0.5000 0.0000
I2 0.1684 0.3368 0.3304

***

# PuTiZnOs (PBE, relaxed)
# ΔE_f: -18.7 meV per atom
# V: 72 Å³/f.u.
# Total energy: -8.70 eV per atom
data_PuTiZnOs
_symmetry_space_group_name_H-M 'F -4 3 m'
_symmetry_Int_Tables_number 216
_symmetry_space_group_name_Hall 'F -4 2 3'
_cell_length_a 6.599
_cell_length_b 6.599
_cell_length_c 6.599
_cell_angle_alpha 90.00
_cell_angle_beta 90.00
_cell_angle_gamma 90.00
loop_
_atom_site_label
_atom_site_fract_x
_atom_site_fract_y
_atom_site_fract_z
Pu1 0.000 0.000 0.000
Ti1 0.000 0.000 0.500
Zn1 0.250 0.250 0.750
Os1 0.250 0.250 0.250

***

> The lowest total energy belongs to which entry?

PuTiZnOs